VASP calculation (PBE-GGA) on a relaxed structure of Sn2Pb4Au.

Cell lengths 6.872, 3.476, 9.343 Å; angles 90.00, 110.36, 90.00 degrees
Space group P2/m (No. 10)
Unique sites:
Sn1 0.214 0.000 0.487 [2 per cell]
Pb1 0.229 0.000 0.855 [2 per cell]
Pb2 0.393 0.500 0.258 [2 per cell]
Au1 0.000 0.500 0.000 [1 per cell]

Results
Total moment (μB per formula unit): 0.0
Formation energy from the elements (meV/atom): 40
Crystal system: monoclinic


VASP calculation (PBE-GGA) on a relaxed structure of PrTm6Se8.

Cell lengths 8.6246, 8.6246, 17.2602 Å; angles 90.00, 90.00, 120.00 degrees
Space group R-3 (No. 148, hexagonal axes)
Unique sites:
Pr1 0.0000 0.0000 0.0000 [3 per cell]
Tm1 0.0038 0.3785 0.9215 [18 per cell]
Se1 0.0000 0.0000 0.3262 [6 per cell]
Se2 0.0103 0.2941 0.0929 [18 per cell]

Results
Total moment (μB per formula unit): 0.0
Uncorrected formation energy (meV/atom): -1574.7
Crystal system: trigonal


VASP calculation (PBE-GGA) on a relaxed structure of LiZrBiRh.

Cell lengths 6.674, 6.674, 6.674 Å; angles 90.00, 90.00, 90.00 degrees
Space group F-43m (No. 216)
Unique sites:
Li1 0.000 0.000 0.000 [4 per cell]
Zr1 0.250 0.250 0.750 [4 per cell]
Bi1 0.250 0.250 0.250 [4 per cell]
Rh1 0.000 0.000 0.500 [4 per cell]

Results
Total moment (μB per formula unit): 0.0
Formation energy from the elements (meV/atom): -374
Crystal system: cubic


VASP calculation (PBE-GGA) on a relaxed structure of AlSnB2.

Cell lengths 5.264, 5.264, 9.884 Å; angles 90.00, 90.00, 90.00 degrees
Space group I-42d (No. 122)
Unique sites:
Al1 0.000 0.000 0.000 [4 per cell]
Sn1 0.000 0.000 0.500 [4 per cell]
B1 0.232 0.250 0.125 [8 per cell]

Results
Total moment (μB per formula unit): 0.0
Formation energy from the elements (meV/atom): 872
Crystal system: tetragonal


VASP calculation (PBE-GGA) on a relaxed structure of RbSmDy4Se8.

Cell lengths 8.6247, 8.6247, 21.4641 Å; angles 90.00, 90.00, 120.00 degrees
Space group R3m (No. 160, hexagonal axes)
Unique sites:
Rb1 0.0000 0.0000 0.0000 [3 per cell]
Sm1 0.0000 0.0000 0.6338 [3 per cell]
Dy1 0.0000 0.0000 0.2541 [3 per cell]
Dy2 0.1726 0.3452 0.4602 [9 per cell]
Se1 0.0000 0.0000 0.3857 [3 per cell]
Se2 0.0000 0.0000 0.8594 [3 per cell]
Se3 0.0433 0.5217 0.3866 [9 per cell]
Se4 0.1751 0.3502 0.2086 [9 per cell]

Results
Total moment (μB per formula unit): 0.0
Uncorrected formation energy (meV/atom): -1720.2
Crystal system: trigonal


VASP calculation (PBE-GGA) on a relaxed structure of Sm4Ge2Br3.

Cell lengths 7.350, 4.243, 17.757 Å; angles 90.00, 90.25, 90.00 degrees
Space group C2/m (No. 12)
Unique sites:
Sm1 0.003 0.000 0.295 [4 per cell]
Sm2 0.165 0.500 0.884 [4 per cell]
Ge1 0.169 0.500 0.201 [4 per cell]
Br1 0.000 0.000 0.000 [2 per cell]
Br2 0.162 0.500 0.605 [4 per cell]

Results
Total moment (μB per formula unit): 0.0
Uncorrected formation energy (meV/atom): -1319.3
Crystal system: monoclinic


One value per record, in order, for uncorrected energy: -25.84 -249.32 -92.76 -70.44 -228.16 -90.01 eV per cell.